# 1
Below is a crystal of NaGeMo3 relaxed with PBEsol, with properties calculated at the meta-GGA SCAN level.

Cell: 4.4656 4.4656 4.4656 Å, 90.00 90.00 90.00°
With the nearest neighbours (Å) after each atom.
Space group Pm-3m (No. 221)
One atom of each set of equivalent atoms:
Na 0.0000 0.0000 0.0000 (multiplicity 1)  6 Mo 2.23
Ge 0.5000 0.5000 0.5000 (multiplicity 1)  12 Mo 3.16
Mo 0.0000 0.0000 0.5000 (multiplicity 3)  2 Na 2.23

Values from the calculation:
calculated formation energy	2.623	eV per atom
D(E_F)	4.3	states/eV/f.u.

# 2
Below is a crystal of NaGeMoRu2 relaxed with PBEsol, with properties calculated at the meta-GGA SCAN level.

Cell: 4.3950 4.3950 4.4684 Å, 90.00 90.00 90.00°
With the nearest neighbours (Å) after each atom.
Space group P4/mmm (No. 123)
One atom of each set of equivalent atoms:
Na 0.0000 0.0000 0.0000 (multiplicity 1)  4 Ru 2.20, 2 Mo 2.23
Ge 0.5000 0.5000 0.5000 (multiplicity 1)  4 Mo 3.11, 8 Ru 3.13
Mo 0.0000 0.0000 0.5000 (multiplicity 1)  2 Na 2.23
Ru 0.0000 0.5000 0.0000 (multiplicity 2)  2 Na 2.20

Values from the calculation:
calculated formation energy	2.367	eV per atom
D(E_F)	4.5	states/eV/f.u.

# 3
Below is a crystal of Nb3SnGeMo3 relaxed with PBEsol, with properties calculated at the meta-GGA SCAN level.

Cell: 7.1942 7.1942 8.8237 Å, 90.00 90.00 120.00°
With the nearest neighbours (Å) after each atom.
Space group R3 (No. 146, hexagonal axes)
One atom of each set of equivalent atoms:
Nb 0.0838 0.6703 0.0000 (multiplicity 9)  2 Mo 2.51-2.58
Sn 0.0000 0.0000 0.5856 (multiplicity 3)  6 Mo 2.84-2.86, 6 Nb 2.85-2.87
Ge 0.0000 0.0000 0.0847 (multiplicity 3)  6 Nb 2.82-2.84, 6 Mo 2.83-2.85
Mo 0.0013 0.2493 0.8357 (multiplicity 9)  2 Nb 2.51-2.58

Values from the calculation:
calculated formation energy	-0.244	eV per atom
D(E_F)	2.8	states/eV/f.u.

# 4
Below is a crystal of GeMoO2 relaxed with PBEsol, with properties calculated at the meta-GGA SCAN level.

Cell: 2.9736 2.9736 19.7001 Å, 90.00 90.00 120.00°
With the nearest neighbours (Å) after each atom.
Space group R-3m (No. 166, hexagonal axes)
One atom of each set of equivalent atoms:
Ge 0.0000 0.0000 0.0000 (multiplicity 3)  6 O 2.19
Mo 0.0000 0.0000 0.5000 (multiplicity 3)  2 O 1.92
O 0.0000 0.0000 0.4025 (multiplicity 6)  1 Mo 1.92

Values from the calculation:
E_form (uncorrected)	-2.688	eV/f.u.
D(E_F)	1.3	states/eV/f.u.